No. 1
Below is a crystal of CrReIr2 relaxed with PBEsol, with properties calculated at the SCAN level.

The energy of formation from the pure elements comes out at -0.3047 eV per atom. As for the polymorph energy (0 for the lowest one): 35 meV per atom.

The space group is P4/mmm (No. 123) and the conventional cell measures 3.779, 3.779 and 3.796 Å, with angles of 90.00, 90.00 and 90.00 degrees. The distinct sites, in fractional coordinates, are Cr at (0.000, 0.000, 0.000), Re at (0.500, 0.500, 0.000) and Ir at (0.000, 0.500, 0.500).

No. 2
Below is a crystal of TaSeS2 relaxed with PBEsol, with properties calculated at the SCAN level.

Its uncorrected formation energy is 0.028 eV/atom.

The space group is I-42d (No. 122) and the conventional cell measures 6.289, 6.289 and 9.369 Å, with angles of 90.00, 90.00 and 90.00 degrees. The distinct sites, in fractional coordinates, are Ta at (0.000, 0.000, 0.000), Se at (0.000, 0.000, 0.500) and S at (0.194, 0.750, 0.125).

No. 3
Below is a crystal of CuAs relaxed with PBEsol, with properties calculated at the SCAN level.

The energy of formation from the pure elements comes out at 0.0144 eV per atom.

The space group is P6_3/mmc (No. 194) and the conventional cell measures 3.8144, 3.8144 and 4.9055 Å, with angles of 90.00, 90.00 and 120.00 degrees. The distinct sites, in fractional coordinates, are Cu at (0.0000, 0.0000, 0.0000) and As at (0.3333, 0.6667, 0.2500).

No. 4
Below is a crystal of Ba2TlGa2 relaxed with PBEsol, with properties calculated at the SCAN level.

The energy of formation from the pure elements comes out at -0.3098 eV per atom. As for the polymorph energy (0 for the lowest one): 0 meV per atom.

The space group is I4/mmm (No. 139) and the conventional cell measures 3.817, 3.817 and 21.482 Å, with angles of 90.00, 90.00 and 90.00 degrees. The distinct sites, in fractional coordinates, are Ba at (0.000, 0.000, 0.110), Tl at (0.000, 0.000, 0.500) and Ga at (0.000, 0.500, 0.250).

No. 5
Below is a crystal of LiLaTa2O7 relaxed with PBEsol, with properties calculated at the SCAN level.

Its uncorrected formation energy is -3.176 eV/atom.

The space group is I-4m2 (No. 119) and the conventional cell measures 3.865, 3.865 and 19.718 Å, with angles of 90.00, 90.00 and 90.00 degrees. The distinct sites, in fractional coordinates, are Li at (0.000, 0.000, 0.000), La at (0.000, 0.500, 0.250), Ta at (0.000, 0.500, 0.635), O at (0.000, 0.000, 0.156), O at (0.000, 0.000, 0.341), O at (0.000, 0.500, 0.544) and O at (0.000, 0.500, 0.750).

No. 6
Below is a crystal of BeRePb2 relaxed with PBEsol, with properties calculated at the SCAN level.

The energy of formation from the pure elements comes out at 1.1809 eV per atom.

The space group is Cmmm (No. 65) and the conventional cell measures 3.526, 5.238 and 8.430 Å, with angles of 90.00, 90.00 and 90.00 degrees. The distinct sites, in fractional coordinates, are Be at (0.000, 0.000, 0.000), Re at (0.000, 0.000, 0.500) and Pb at (0.000, 0.500, 0.242).

No. 7
Below is a crystal of Ta2PCl relaxed with PBEsol, with properties calculated at the SCAN level.

Its uncorrected formation energy is 0.023 eV/atom. As for the polymorph energy (0 for the lowest one): 239 meV per atom.

The space group is Cmmm (No. 65) and the conventional cell measures 3.330, 4.987 and 7.883 Å, with angles of 90.00, 90.00 and 90.00 degrees. The distinct sites, in fractional coordinates, are Ta at (0.000, 0.000, 0.221), P at (0.000, 0.500, 0.000) and Cl at (0.000, 0.500, 0.500).

No. 8
Below is a crystal of Mn2SbRh relaxed with PBEsol, with properties calculated at the SCAN level.

Its uncorrected formation energy is -0.076 eV/atom.

The space group is P4mm (No. 99) and the conventional cell measures 3.100, 3.100 and 5.860 Å, with angles of 90.00, 90.00 and 90.00 degrees. The distinct sites, in fractional coordinates, are Mn at (0.000, 0.000, 0.000), Mn at (0.500, 0.500, 0.218), Sb at (0.500, 0.500, 0.750) and Rh at (0.000, 0.000, 0.472).

No. 9
Below is a crystal of RePt2Se relaxed with PBEsol, with properties calculated at the SCAN level.

Its uncorrected formation energy is 0.146 eV/atom.

The space group is P4/mmm (No. 123) and the conventional cell measures 2.760, 2.760 and 8.261 Å, with angles of 90.00, 90.00 and 90.00 degrees. The distinct sites, in fractional coordinates, are Re at (0.000, 0.000, 0.000), Pt at (0.500, 0.500, 0.227) and Se at (0.000, 0.000, 0.500).

No. 10
Below is a crystal of RbMg2Sb2 relaxed with PBEsol, with properties calculated at the SCAN level.

Its uncorrected formation energy is -0.505 eV/atom.

The space group is I4/mmm (No. 139) and the conventional cell measures 4.821, 4.821 and 13.057 Å, with angles of 90.00, 90.00 and 90.00 degrees. The distinct sites, in fractional coordinates, are Rb at (0.000, 0.000, 0.000), Mg at (0.000, 0.500, 0.250) and Sb at (0.000, 0.000, 0.373).

No. 11
Below is a crystal of ZrNi3Br relaxed with PBEsol, with properties calculated at the SCAN level.

Its uncorrected formation energy is 0.762 eV/atom.

The space group is Pm-3m (No. 221) and the conventional cell measures 4.311, 4.311 and 4.311 Å, with angles of 90.00, 90.00 and 90.00 degrees. The distinct sites, in fractional coordinates, are Zr at (0.000, 0.000, 0.000), Ni at (0.000, 0.500, 0.500) and Br at (0.500, 0.500, 0.500).

No. 12
Below is a crystal of KPrSiSe4 relaxed with PBEsol, with properties calculated at the SCAN level.

Its uncorrected formation energy is -1.425 eV/atom.

The space group is P2_1 (No. 4) and the conventional cell measures 6.710, 6.915 and 8.986 Å, with angles of 90.00, 108.10 and 90.00 degrees. The distinct sites, in fractional coordinates, are K at (0.237, 0.000, 0.435), Pr at (0.272, 0.008, 0.949), Si at (0.285, 0.478, 0.183), Se at (0.088, 0.477, 0.345), Se at (0.091, 0.432, 0.928), Se at (0.469, 0.738, 0.766) and Se at (0.489, 0.750, 0.220).